# Tb2Ni3

An optimized crystal structure of Tb2Ni3 (GGA-PBE, Alexandria).

DOS at the Fermi energy in states/eV/atom: 0.92
Total DFT energy (no corrections) in eV/cell: -57.31

Lattice parameters (Å, degrees): 12.2989 12.2989 3.9905 90.00 90.00 162.08
Last column: nearest neighbours and their distance in Å.
Atoms (fractional coordinates):
Tb  0.0704  0.9296  0.7500  12 Ni 2.99-3.15
Tb  0.2025  0.7975  0.2500  7 Ni 2.79-3.02
Tb  0.7975  0.2025  0.7500  7 Ni 2.79-3.02
Tb  0.9296  0.0704  0.2500  12 Ni 2.99-3.15
Ni  0.3269  0.6731  0.2500  2 Ni 2.39
Ni  0.3812  0.6188  0.7500  3 Ni 2.30-2.39
Ni  0.4760  0.5240  0.7500  3 Ni 2.30-2.31
Ni  0.5240  0.4760  0.2500  3 Ni 2.30-2.31
Ni  0.6188  0.3812  0.2500  3 Ni 2.30-2.39
Ni  0.6731  0.3269  0.7500  2 Ni 2.39